Record 1
A relaxed Tb6AlRh2 crystal, computed with PBE.

Properties
Its formation energy is -0.543 eV per atom. The space-group type is Immm, No. 71.

Cell lengths 8.467, 8.467, 8.467 Å; angles 104.36, 111.37, 112.81 degrees
Positions (direct):
Tb 0.894 0.714 0.180
Tb 0.306 0.977 0.670
Tb 0.196 0.761 0.957
Tb 0.106 0.286 0.820
Tb 0.196 0.239 0.434
Tb 0.534 0.714 0.820
Tb 0.306 0.636 0.330
Tb 0.466 0.286 0.180
Tb 0.804 0.761 0.566
Tb 0.804 0.239 0.043
Tb 0.694 0.023 0.330
Tb 0.694 0.364 0.670
Al 0.000 0.500 0.500
Al 0.000 0.000 0.000
Rh 0.500 0.367 0.867
Rh 0.674 0.000 0.674
Rh 0.500 0.633 0.133
Rh 0.326 0.000 0.326

Record 2
A relaxed Hg3BMo crystal, computed with PBE.

Properties
Its formation energy is 1.786 eV per atom. The space-group type is Pm-3m, No. 221.

Cell lengths 5.451, 5.451, 5.451 Å; angles 90.00, 90.00, 90.00 degrees
Positions (direct):
Hg 0.500 0.000 0.000
Hg 0.000 0.500 0.000
Hg 0.000 0.000 0.500
B 0.500 0.500 0.500
Mo 0.000 0.000 0.000

Record 3
A relaxed La4Dy3S8 crystal, computed with PBE.

Properties
The space-group type is C2/m, No. 12. As for the formation energy without anion corrections: -2068 meV/atom.

Cell lengths 8.125, 8.088, 8.088 Å; angles 89.95, 120.20, 120.20 degrees
Positions (direct):
La 0.000 0.000 0.000
La 0.500 0.000 0.000
La 0.000 0.000 0.500
La 0.000 0.500 0.000
S 0.985 0.740 0.740
S 0.000 0.254 0.746
S 0.492 0.739 0.739
S 0.508 0.261 0.261
S 0.500 0.743 0.257
S 0.500 0.257 0.743
S 0.000 0.746 0.254
S 0.015 0.260 0.260
Dy 0.500 0.500 0.000
Dy 0.500 0.000 0.500
Dy 0.500 0.500 0.500

Record 4
A relaxed CsVZn crystal, computed with PBE.

Properties
Its formation energy is 0.411 eV per atom. The space-group type is P1, No. 1.

Cell lengths 4.224, 12.977, 4.225 Å; angles 89.55, 60.82, 98.60 degrees
Positions (direct):
V 0.664 0.241 0.185
V 0.977 0.241 0.498
Cs 0.800 0.935 0.607
Cs 0.179 0.547 0.407
Zn 0.261 0.143 0.875
Zn 0.382 0.340 0.811

no.,final energy (eV per atom),size of the total moment (Bohr magnetons per cell)
1,-5.679,0.00
2,-1.897,2.32
3,-6.504,0.00
4,-3.338,0.00